Record 1
Computed, not measured: a relaxed structure of Hf6CoSb3 at the PBE-GGA level of DFT.

Summary:
Its space group is Cmc2_1. The calculation puts the formation energy without anion corrections at -274 meV per atom. As for the theoretical density: 11.8 g/cm3.

```
20
Lattice="-1.2657 -0.1113 -4.7909 -7.6755 -4.8907 2.1413 -2.9274 8.8615 0.5675" Properties=species:S:1:pos:R:3 pbc="T T T"
Hf -8.3963 -4.1169 -1.8141
Hf -3.6115 7.9642 -0.7948
Hf -4.1972 0.3822 0.2435
Hf -6.6196 -1.2571 0.9481
Hf -9.1212 -1.1096 -0.9543
Hf -5.6856 -2.3962 -1.8320
Hf -4.1623 2.2603 -2.3733
Hf -5.0258 5.1362 -2.1854
Hf -2.5222 4.9889 -0.2754
Hf -7.4614 3.4958 -1.5304
Hf -7.4962 1.6177 1.0863
Hf -5.9577 6.2756 0.6024
Co -4.5775 7.1427 -3.3719
Co -7.5721 -3.3079 0.2259
Sb -6.6210 0.5245 -1.6691
Sb -8.2618 4.5271 1.2130
Sb -1.8313 2.1188 -0.4299
Sb -9.8312 1.7589 -0.8720
Sb -5.0304 3.3541 0.4088
Sb -3.4007 -0.6494 -2.5149
```

Record 2
Computed, not measured: a relaxed structure of Ac2CeNdSb4 at the PBE-GGA level of DFT.

Summary:
Its space group is P2/m. The calculation puts the formation energy without anion corrections at -1157 meV per atom. As for the theoretical density: 7.1 g/cm3.

```
8
Lattice="4.6587 0.0000 0.0000 0.0000 8.0742 -0.1650 0.0000 2.8363 7.5476" Properties=species:S:1:pos:R:3 pbc="T T T"
Sb 2.3294 4.2640 5.5903
Sb 0.0001 8.0651 5.5931
Sb 2.3294 6.6465 1.7922
Sb 4.6587 2.8454 1.7894
Ac 0.0000 2.8363 7.5475
Ac 2.3294 1.4181 3.7738
Nd 0.0001 5.4552 3.6913
Ce 2.3294 4.0371 -0.0825
```

Record 3
Computed, not measured: a relaxed structure of BaHgO2 at the PBE-GGA level of DFT.

Summary:
Its space group is I-42d. The calculation puts the formation energy without anion corrections at -1354 meV per atom. As for the theoretical density: 6.9 g/cm3.

```
8
Lattice="5.4859 0.0000 0.0000 0.0000 5.4859 0.0000 2.7429 2.7429 5.9099" Properties=species:S:1:pos:R:3 pbc="T T T"
Ba 2.7429 2.7429 0.0000
Ba 2.7429 5.4859 2.9549
O 4.3401 1.3715 1.4775
O 1.1458 4.1144 1.4775
O 6.8574 7.0831 4.4324
O 4.1144 3.8887 4.4324
Hg 5.4859 2.7429 2.9549
Hg 0.0000 0.0000 0.0000
```

Record 4
Computed, not measured: a relaxed structure of BC2 at the PBE-GGA level of DFT.

Summary:
Its space group is P3m1. The relative energy among the computed polymorphs is 61 meV per atom. As for the theoretical density: 2.8 g/cm3. As for the formation energy: 0.301 eV/atom.

```
12
Lattice="2.6275 0.0000 0.0000 -1.3137 2.2754 0.0000 0.0000 0.0000 13.9999" Properties=species:S:1:pos:R:3 pbc="T T T"
B 0.0000 1.5170 6.7993
B 0.0000 1.5170 10.1002
B 0.0000 1.5170 2.2391
B 1.3137 0.7585 11.9154
C 1.3137 0.7585 2.9237
C 0.0000 0.0000 6.5746
C 0.0000 0.0000 12.5955
C 0.0000 0.0000 4.9581
C 0.0000 0.0000 0.0878
C 1.3137 0.7585 4.4185
C 1.3137 0.7585 10.2480
C 0.0000 1.5170 0.6396
```

Record 5
Computed, not measured: a relaxed structure of Cs2AgGe at the PBE-GGA level of DFT.

Summary:
Its space group is I-42d. The relative energy among the computed polymorphs is 79 meV per atom. As for the theoretical density: 3.2 g/cm3. As for the formation energy: 0.084 eV/atom.

```
8
Lattice="-6.8777 6.8777 2.4551 6.8777 -6.8777 2.4551 6.8777 6.8777 -2.4551" Properties=species:S:1:pos:R:3 pbc="T T T"
Cs 7.7910 -3.4389 1.8413
Cs 10.3166 0.9133 0.6138
Cs 5.9645 3.4389 1.8413
Cs 3.4389 -0.9133 0.6138
Ge 0.0000 6.8777 1.2276
Ge 0.0000 0.0000 2.4551
Ag 6.8777 0.0000 1.2276
Ag 0.0000 0.0000 0.0000
```

Record 6
Computed, not measured: a relaxed structure of AlFe2Br at the PBE-GGA level of DFT.

Summary:
Its space group is R3m. The relative energy among the computed polymorphs is 123 meV per atom. The calculation puts the formation energy without anion corrections at 242 meV per atom. As for the theoretical density: 5.5 g/cm3.

```
4
Lattice="-4.7349 5.5686 -2.7049 -6.3412 2.9403 -3.4480 -6.5666 4.1641 -0.5340" Properties=species:S:1:pos:R:3 pbc="T T T"
Fe -4.4745 3.2141 -1.6959
Fe -17.4912 12.5642 -6.6294
Al -9.0138 6.4747 -3.4163
Br -13.1273 9.4296 -4.9754
```